Record 1
A relaxed structure of In2GaAs3. Source: Alexandria, functional PBEsol.

The value obtained for the total energy is -4.327 eV per atom. The formation energy is -223 meV per atom. Its crystal system is tetragonal. For the density, the calculation gives 5.53 g cm⁻³.

The structure belongs to space group I-4m2 (No. 119); the cell edges are 4.1924, 4.1924 and 17.9124 Å and the angles 90.00°, 90.00° and 90.00°. Symmetry generates all atoms from In at (0.0000, 0.0000, 0.1628), Ga at (0.0000, 0.0000, 0.5000), As at (0.0000, 0.5000, 0.0750) and As at (0.0000, 0.5000, 0.7500).



Record 2
A relaxed structure of InGaAsN2. Source: Alexandria, functional PBEsol.

The value obtained for the total energy is -4.620 eV per atom. Its crystal system is tetragonal. For the density, the calculation gives 6.22 g cm⁻³. Its uncorrected formation energy is 1076 meV/atom.

The structure belongs to space group P4/mmm (No. 123); the cell edges are 3.8943, 3.8943 and 5.0612 Å and the angles 90.00°, 90.00° and 90.00°. Symmetry generates all atoms from In at (0.0000, 0.0000, 0.0000), Ga at (0.5000, 0.5000, 0.0000), As at (0.5000, 0.5000, 0.5000) and N at (0.0000, 0.5000, 0.5000).